Entry a
# TaMn2Co

Crystalline TaMn2Co at its relaxed geometry (PBE-GGA, Alexandria via LeMat-Bulk).

Computed properties:
Crystal system ... tetragonal

Unit cell a=3.023 b=3.023 c=5.765 alpha=90.00 beta=90.00 gamma=90.00
Fractional positions:
1 Ta 0.000 0.000 0.000
2 Mn 0.000 0.000 0.503
3 Mn 0.500 0.500 0.738
4 Co 0.500 0.500 0.261

***

Entry b
# TaMn2Co

Crystalline TaMn2Co at its relaxed geometry (PBE-GGA, Alexandria via LeMat-Bulk).

Computed properties:
Crystal system ... trigonal

Unit cell a=8.587 b=8.587 c=8.587 alpha=18.25 beta=18.25 gamma=18.25
Fractional positions:
1 Ta 0.000 0.000 0.000
2 Mn 0.240 0.240 0.240
3 Mn 0.498 0.498 0.498
4 Co 0.754 0.754 0.754

***

Which one sits at the top of the stability order? entry a does.

***

Entry a
# TaMn2Co

Crystalline TaMn2Co at its relaxed geometry (PBE-GGA, Alexandria via LeMat-Bulk).

Computed properties:
Crystal system ... cubic

Unit cell a=4.201 b=4.201 c=4.201 alpha=60.00 beta=60.00 gamma=60.00
Fractional positions:
1 Ta 0.000 0.000 0.000
2 Mn 0.250 0.250 0.250
3 Mn 0.750 0.750 0.750
4 Co 0.500 0.500 0.500

***

Entry b
# TaMn2Co

Crystalline TaMn2Co at its relaxed geometry (PBE-GGA, Alexandria via LeMat-Bulk).

Computed properties:
Crystal system ... tetragonal

Unit cell a=4.798 b=4.798 c=4.798 alpha=135.50 beta=135.50 gamma=64.76
Fractional positions:
1 Ta 0.000 0.000 0.000
2 Mn 0.250 0.750 0.500
3 Mn 0.750 0.250 0.500
4 Co 0.500 0.500 0.000

***

Entry c
# TaMn2Co

Crystalline TaMn2Co at its relaxed geometry (PBE-GGA, Alexandria via LeMat-Bulk).

Computed properties:
Crystal system ... cubic

Unit cell a=4.193 b=4.193 c=4.193 alpha=60.00 beta=60.00 gamma=60.00
Fractional positions:
1 Ta 0.000 0.000 0.000
2 Mn 0.250 0.250 0.250
3 Mn 0.500 0.500 0.500
4 Co 0.750 0.750 0.750

***

Entry d
# TaMn2Co

Crystalline TaMn2Co at its relaxed geometry (PBE-GGA, Alexandria via LeMat-Bulk).

Computed properties:
Crystal system ... tetragonal

Unit cell a=4.054 b=4.054 c=3.205 alpha=90.00 beta=90.00 gamma=90.00
Fractional positions:
1 Ta 0.000 0.000 0.000
2 Mn 0.000 0.500 0.500
3 Mn 0.500 0.000 0.500
4 Co 0.500 0.500 0.000

***

Which one sits at the top of the stability order? entry c does.

***

Entry a
# TaMn2Co2

Crystalline TaMn2Co2 at its relaxed geometry (PBE-GGA, Alexandria via LeMat-Bulk).

Computed properties:
Crystal system ... tetragonal

Unit cell a=6.866 b=6.866 c=2.566 alpha=90.00 beta=90.00 gamma=90.00
Fractional positions:
1 Ta 0.000 0.000 0.000
2 Ta 0.500 0.500 0.000
3 Mn 0.118 0.382 0.000
4 Mn 0.382 0.882 0.000
5 Mn 0.618 0.118 0.000
6 Mn 0.882 0.618 0.000
7 Co 0.176 0.676 0.500
8 Co 0.324 0.176 0.500
9 Co 0.676 0.824 0.500
10 Co 0.824 0.324 0.500

***

Entry b
# TaMn2Co2

Crystalline TaMn2Co2 at its relaxed geometry (PBE-GGA, Alexandria via LeMat-Bulk).

Computed properties:
Crystal system ... tetragonal

Unit cell a=6.876 b=6.876 c=2.578 alpha=90.00 beta=90.00 gamma=90.00
Fractional positions:
1 Ta 0.000 0.000 0.000
2 Ta 0.500 0.500 0.000
3 Mn 0.172 0.328 0.500
4 Mn 0.328 0.828 0.500
5 Mn 0.672 0.172 0.500
6 Mn 0.828 0.672 0.500
7 Co 0.123 0.623 0.000
8 Co 0.377 0.123 0.000
9 Co 0.623 0.877 0.000
10 Co 0.877 0.377 0.000

***

Which one sits at the top of the stability order? entry b does.